MnPRuCl2: optimized geometry, GGA-PBEsol.

Output
* V: 18.6 A^3/atom
* uncorrected energy: -25.78 eV/cell
* raw formation energy: 0.7928 eV per atom

a b c (Å): 4.3821 4.3821 4.8476
angles (deg): 90.00 90.00 90.00
With the nearest neighbours (Å) after each atom.
Fractional coordinates of all 5 atoms:
1 Mn 0.0000 0.0000 0.0000  4 Cl 2.19, 2 P 2.42
2 P 0.0000 0.0000 0.5000  2 Mn 2.42
3 Ru 0.5000 0.5000 0.5000  4 P 3.10, 8 Cl 3.27
4 Cl 0.0000 0.5000 0.0000  2 Mn 2.19
5 Cl 0.5000 0.0000 0.0000  2 Mn 2.19



MnPSCl2: optimized geometry, GGA-PBEsol.

Output
* V: 18.7 A^3/atom
* uncorrected energy: -22.66 eV/cell
* raw formation energy: 0.2587 eV per atom

a b c (Å): 4.3609 4.3609 4.9174
angles (deg): 90.00 90.00 90.00
With the nearest neighbours (Å) after each atom.
Fractional coordinates of all 5 atoms:
1 Mn 0.0000 0.0000 0.0000  4 Cl 2.18
2 P 0.0000 0.0000 0.5000  2 Mn 2.46
3 S 0.5000 0.5000 0.5000  4 P 3.08, 8 Cl 3.29
4 Cl 0.0000 0.5000 0.0000  2 Mn 2.18
5 Cl 0.5000 0.0000 0.0000  2 Mn 2.18



SrMnPCl2: optimized geometry, GGA-PBEsol.

Output
* V: 21.6 A^3/atom
* uncorrected energy: -26.02 eV/cell
* raw formation energy: -0.9224 eV per atom

a b c (Å): 4.7707 4.7707 4.7474
angles (deg): 90.00 90.00 90.00
With the nearest neighbours (Å) after each atom.
Fractional coordinates of all 5 atoms:
1 Sr 0.0000 0.0000 0.0000  8 Cl 3.37, 4 P 3.37
2 Mn 0.5000 0.5000 0.5000  2 P 2.37, 4 Cl 2.39
3 P 0.5000 0.5000 0.0000  2 Mn 2.37
4 Cl 0.0000 0.5000 0.5000  2 Mn 2.39
5 Cl 0.5000 0.0000 0.5000  2 Mn 2.39



TiMnPCl2: optimized geometry, GGA-PBEsol.

Output
* V: 20.9 A^3/atom
* uncorrected energy: -28.86 eV/cell
* raw formation energy: -0.1937 eV per atom

a b c (Å): 4.5534 4.5534 5.0311
angles (deg): 90.00 90.00 90.00
With the nearest neighbours (Å) after each atom.
Fractional coordinates of all 5 atoms:
1 Ti 0.0000 0.0000 0.0000  4 Cl 2.28, 2 P 2.52
2 Mn 0.5000 0.5000 0.5000  4 P 3.22, 8 Cl 3.39
3 P 0.0000 0.0000 0.5000  2 Ti 2.52
4 Cl 0.0000 0.5000 0.0000  2 Ti 2.28
5 Cl 0.5000 0.0000 0.0000  2 Ti 2.28



YMnPCl2: optimized geometry, GGA-PBEsol.

Output
* V: 19.8 A^3/atom
* uncorrected energy: -29.65 eV/cell
* raw formation energy: -0.6521 eV per atom

a b c (Å): 4.4778 4.4778 4.9465
angles (deg): 90.00 90.00 90.00
With the nearest neighbours (Å) after each atom.
Fractional coordinates of all 5 atoms:
1 Y 0.0000 0.0000 0.0000  4 P 3.17, 8 Cl 3.34
2 Mn 0.5000 0.5000 0.5000  4 Cl 2.24, 2 P 2.47
3 P 0.5000 0.5000 0.0000  2 Mn 2.47
4 Cl 0.0000 0.5000 0.5000  2 Mn 2.24
5 Cl 0.5000 0.0000 0.5000  2 Mn 2.24



ZrMnP2Cl: optimized geometry, GGA-PBEsol.

Output
* V: 17.4 A^3/atom
* uncorrected energy: -32.33 eV/cell
* raw formation energy: 0.0225 eV per atom

a b c (Å): 4.4640 4.4640 4.3703
angles (deg): 90.00 90.00 90.00
With the nearest neighbours (Å) after each atom.
Fractional coordinates of all 5 atoms:
1 Zr 0.0000 0.0000 0.0000  8 P 3.12, 4 Cl 3.16
2 Mn 0.5000 0.5000 0.5000  2 Cl 2.19, 4 P 2.23
3 P 0.0000 0.5000 0.5000  2 Mn 2.23
4 P 0.5000 0.0000 0.5000  2 Mn 2.23
5 Cl 0.5000 0.5000 0.0000  2 Mn 2.19



MnPb2Cl: optimized geometry, GGA-PBEsol.

Output
* V: 24.8 A^3/atom
* uncorrected energy: -19.42 eV/cell
* raw formation energy: 0.0871 eV per atom

a b c (Å): 7.7447 7.7447 7.7447
angles (deg): 156.10 148.16 40.21
With the nearest neighbours (Å) after each atom.
Fractional coordinates of all 4 atoms:
1 Mn 0.0000 0.0000 0.0000  4 Cl 2.66
2 Pb 0.1844 0.6844 0.5000  2 Mn 3.12, 6 Pb 3.21-3.28, 2 Cl 3.42
3 Pb 0.8156 0.3156 0.5000  2 Mn 3.12, 6 Pb 3.21-3.28, 2 Cl 3.42
4 Cl 0.5000 0.5000 0.0000  4 Mn 2.66



MnPb2Cl: optimized geometry, GGA-PBEsol.

Output
* V: 23.7 A^3/atom
* uncorrected energy: -19.86 eV/cell
* raw formation energy: -0.0245 eV per atom

a b c (Å): 5.7599 5.7599 5.8587
angles (deg): 115.93 115.93 33.16
With the nearest neighbours (Å) after each atom.
Fractional coordinates of all 4 atoms:
1 Mn 0.0000 0.0000 0.0000  2 Cl 2.40
2 Pb 0.2591 0.2591 0.9588  3 Mn 2.98-3.04, 3 Pb 3.19-3.29
3 Pb 0.4209 0.4209 0.5690  2 Mn 2.80, 1 Cl 3.09
4 Cl 0.6169 0.6169 0.3252  2 Mn 2.40



MnPb2Cl: optimized geometry, GGA-PBEsol.

Output
* V: 24.3 A^3/atom
* uncorrected energy: -18.91 eV/cell
* raw formation energy: 0.2153 eV per atom

a b c (Å): 5.4603 5.4603 5.6323
angles (deg): 96.61 96.61 35.66
With the nearest neighbours (Å) after each atom.
Fractional coordinates of all 4 atoms:
1 Mn 0.0000 0.0000 0.0000  6 Pb 3.06-3.30, 4 Cl 3.27, 2 Mn 3.34
2 Pb 0.2742 0.2742 0.7612  1 Cl 2.92, 2 Mn 3.06, 2 Pb 3.26
3 Pb 0.7258 0.7258 0.2388  1 Cl 2.92, 2 Mn 3.06, 2 Pb 3.26
4 Cl 0.5000 0.5000 0.5000  2 Pb 2.92



MnPbCl2: optimized geometry, GGA-PBEsol.

Output
* V: 22.2 A^3/atom
* uncorrected energy: -17.80 eV/cell
* raw formation energy: -0.0054 eV per atom

a b c (Å): 5.2916 5.2916 3.2893
angles (deg): 90.00 90.00 105.54
With the nearest neighbours (Å) after each atom.
Fractional coordinates of all 4 atoms:
1 Mn 0.0000 0.0000 0.0000  8 Cl 3.12, 2 Pb 3.20, 2 Mn 3.29
2 Pb 0.5000 0.5000 0.0000  8 Cl 3.12, 2 Mn 3.20, 2 Pb 3.29
3 Cl 0.0000 0.5000 0.5000  4 Pb 3.12, 4 Mn 3.12, 4 Cl 3.20-3.29
4 Cl 0.5000 0.0000 0.5000  4 Pb 3.12, 4 Mn 3.12, 4 Cl 3.20-3.29



MnPb2Cl: optimized geometry, GGA-PBEsol.

Output
* V: 24.1 A^3/atom
* uncorrected energy: -18.66 eV/cell
* raw formation energy: 0.2777 eV per atom

a b c (Å): 5.1469 5.1469 5.1469
angles (deg): 60.00 60.00 60.00
With the nearest neighbours (Å) after each atom.
Fractional coordinates of all 4 atoms:
1 Mn 0.0000 0.0000 0.0000  4 Cl 3.15, 4 Pb 3.15
2 Pb 0.2500 0.2500 0.2500  4 Mn 3.15, 4 Pb 3.15
3 Pb 0.5000 0.5000 0.5000  4 Cl 3.15, 4 Pb 3.15
4 Cl 0.7500 0.7500 0.7500  4 Mn 3.15, 4 Pb 3.15



MnPbCl2: optimized geometry, GGA-PBEsol.

Output
* V: 21.8 A^3/atom
* uncorrected energy: -18.69 eV/cell
* raw formation energy: -0.2288 eV per atom

a b c (Å): 3.5373 4.3186 5.7159
angles (deg): 90.00 93.98 90.00
With the nearest neighbours (Å) after each atom.
Fractional coordinates of all 4 atoms:
1 Mn 0.0000 0.0000 0.0000  4 Cl 2.62
2 Pb 0.5000 0.0000 0.5000  4 Cl 2.94, 2 Mn 3.25
3 Cl 0.1847 0.5000 0.7757  2 Mn 2.62
4 Cl 0.8153 0.5000 0.2243  2 Mn 2.62



Q: The lowest raw formation energy belongs to which entry?
A: SrMnPCl2